(1)
The following is a PBE-GGA calculation of an optimized crystal structure of Pm2NbN4, from Alexandria via LeMat-Bulk.

Cell: 6.0721 6.1132 6.8076 Å, 90.00 107.79 90.00°
Closest atoms and distances in Å follow each position.
Element x y z (fractional)
Nb: 0.2110 0.7500 0.1867  4 N 1.93-1.98
N: 0.0121 0.7500 0.9015  1 Nb 1.95
Pm: 0.2619 0.2500 0.4499  4 N 2.39-2.56
Pm: 0.7381 0.7500 0.5501  4 N 2.39-2.56
Pm: 0.3380 0.2500 0.9768  4 N 2.38-2.51
N: 0.0090 0.2500 0.6595  1 Nb 1.93
N: 0.4426 0.5116 0.2494  1 Nb 1.98
N: 0.5574 0.0116 0.7506  1 Nb 1.98
N: 0.9910 0.7500 0.3405  1 Nb 1.93
N: 0.4426 0.9884 0.2494  1 Nb 1.98
Pm: 0.6620 0.7500 0.0232  4 N 2.38-2.51
N: 0.9879 0.2500 0.0985  1 Nb 1.95
Nb: 0.7890 0.2500 0.8133  4 N 1.93-1.98
N: 0.5574 0.4884 0.7506  1 Nb 1.98

Symmetry ... No. 11
Formation energy from raw total energies ... -85.7 kJ per mole of atoms
Raw total energy ... -8.4418 eV/atom
N(E_F) ... 7.27 states/eV per cell

(2)
The following is a PBE-GGA calculation of an optimized crystal structure of Pm3Nb5N12, from Alexandria via LeMat-Bulk.

Cell: 11.3837 11.3837 11.3837 Å, 109.47 109.47 109.47°
Closest atoms and distances in Å follow each position.
Element x y z (fractional)
Nb: 0.3750 0.2500 0.1250  4 N 1.95
Nb: 0.8750 0.6250 0.7500  4 N 1.95
N: 0.9165 0.8210 0.7979  2 Nb 1.95-2.12
Nb: 0.5000 0.5000 0.0000  6 N 2.12
Nb: 0.6250 0.8750 0.2500  4 N 1.95
N: 0.6790 0.2021 0.5835  2 Nb 1.95-2.12
N: 0.9045 0.8210 0.5231  2 Nb 1.95-2.12
N: 0.8210 0.9045 0.0231  2 Nb 1.95-2.12
N: 0.0955 0.9165 0.1186  2 Nb 1.95-2.12
Nb: 0.5000 0.0000 0.5000  6 N 2.12
Nb: 0.3750 0.1250 0.7500  4 N 1.95
N: 0.6186 0.5955 0.9165  2 Nb 1.95-2.12
Nb: 0.7500 0.1250 0.8750  4 N 1.95
N: 0.2979 0.4165 0.8210  2 Nb 1.95-2.12
Pm: 0.3750 0.7500 0.6250  8 N 2.53-2.63
N: 0.3814 0.4045 0.0835  2 Nb 1.95-2.12
N: 0.7021 0.1186 0.0231  2 Nb 1.95-2.12
N: 0.9769 0.3814 0.2979  2 Nb 1.95-2.12
Pm: 0.7500 0.8750 0.6250  8 N 2.53-2.63
N: 0.5835 0.7021 0.6790  2 Nb 1.95-2.12
N: 0.2021 0.6790 0.0835  2 Nb 1.95-2.12
Pm: 0.3750 0.6250 0.2500  8 N 2.53-2.63
N: 0.3210 0.7979 0.4165  2 Nb 1.95-2.12
N: 0.4769 0.6790 0.0955  2 Nb 1.95-2.12
Pm: 0.6250 0.2500 0.3750  8 N 2.53-2.63
N: 0.0835 0.1790 0.2021  2 Nb 1.95-2.12
N: 0.1790 0.0835 0.7021  2 Nb 1.95-2.12
N: 0.4165 0.2979 0.3210  2 Nb 1.95-2.12
Pm: 0.2500 0.6250 0.8750  8 N 2.53-2.63
Nb: 0.5000 0.5000 0.5000  6 N 2.12
Nb: 0.2500 0.8750 0.1250  4 N 1.95
N: 0.2979 0.8814 0.9769  2 Nb 1.95-2.12
Nb: 0.8750 0.2500 0.6250  4 N 1.95
Nb: 0.0000 0.0000 0.5000  6 N 2.12
N: 0.1790 0.0955 0.9769  2 Nb 1.95-2.12
Nb: 0.1250 0.3750 0.2500  4 N 1.95
N: 0.4045 0.3814 0.5835  2 Nb 1.95-2.12
Pm: 0.8750 0.7500 0.1250  8 N 2.53-2.63
Nb: 0.6250 0.7500 0.8750  4 N 1.95
N: 0.5955 0.9769 0.6790  2 Nb 1.95-2.12
N: 0.1186 0.7021 0.5231  2 Nb 1.95-2.12
Pm: 0.7500 0.3750 0.1250  8 N 2.53-2.63
N: 0.7021 0.5835 0.1790  2 Nb 1.95-2.12
N: 0.1186 0.4165 0.0955  2 Nb 1.95-2.12
N: 0.6186 0.0231 0.2021  2 Nb 1.95-2.12
N: 0.9769 0.5955 0.1790  2 Nb 1.95-2.12
N: 0.5231 0.3210 0.9045  2 Nb 1.95-2.12
Nb: 0.7500 0.6250 0.3750  4 N 1.95
N: 0.5835 0.8814 0.4045  2 Nb 1.95-2.12
N: 0.4165 0.1186 0.5955  2 Nb 1.95-2.12
N: 0.4045 0.0231 0.3210  2 Nb 1.95-2.12
Nb: 0.0000 0.5000 0.0000  6 N 2.12
Nb: 0.5000 0.0000 0.0000  6 N 2.12
N: 0.3814 0.9769 0.7979  2 Nb 1.95-2.12
N: 0.0231 0.6186 0.7021  2 Nb 1.95-2.12
Nb: 0.0000 0.0000 0.0000  6 N 2.12
N: 0.0231 0.4045 0.8210  2 Nb 1.95-2.12
Pm: 0.1250 0.2500 0.8750  8 N 2.53-2.63
N: 0.8814 0.2979 0.4769  2 Nb 1.95-2.12
N: 0.9045 0.0835 0.8814  2 Nb 1.95-2.12
Nb: 0.1250 0.7500 0.3750  4 N 1.95
Nb: 0.2500 0.3750 0.6250  4 N 1.95
N: 0.2021 0.5231 0.6186  2 Nb 1.95-2.12
N: 0.6790 0.4769 0.5955  2 Nb 1.95-2.12
N: 0.9165 0.0955 0.6186  2 Nb 1.95-2.12
Pm: 0.6250 0.3750 0.7500  8 N 2.53-2.63
N: 0.3210 0.5231 0.4045  2 Nb 1.95-2.12
N: 0.5231 0.2021 0.1186  2 Nb 1.95-2.12
N: 0.0955 0.1790 0.4769  2 Nb 1.95-2.12
N: 0.7979 0.3210 0.9165  2 Nb 1.95-2.12
N: 0.5955 0.6186 0.4165  2 Nb 1.95-2.12
N: 0.4769 0.7979 0.8814  2 Nb 1.95-2.12
Pm: 0.1250 0.8750 0.7500  8 N 2.53-2.63
Nb: 0.0000 0.5000 0.5000  6 N 2.12
Pm: 0.2500 0.1250 0.3750  8 N 2.53-2.63
N: 0.8814 0.5835 0.9045  2 Nb 1.95-2.12
N: 0.0835 0.9045 0.3814  2 Nb 1.95-2.12
N: 0.7979 0.4769 0.3814  2 Nb 1.95-2.12
N: 0.8210 0.9165 0.2979  2 Nb 1.95-2.12
Pm: 0.8750 0.1250 0.2500  8 N 2.53-2.63

Symmetry ... No. 230
Formation energy from raw total energies ... -86.8 kJ per mole of atoms
Raw total energy ... -9.1248 eV/atom
N(E_F) ... 69.26 states/eV per cell

(3)
The following is a PBE-GGA calculation of an optimized crystal structure of Pm2NbN, from Alexandria via LeMat-Bulk.

Cell: 3.3724 3.3724 9.2591 Å, 79.51 79.51 60.00°
Closest atoms and distances in Å follow each position.
Element x y z (fractional)
Nb: 0.0000 0.0000 0.0000  2 Pm 3.08, 6 Nb 3.37
Pm: 0.1134 0.1134 0.6599  3 N 2.43
Pm: 0.8866 0.8866 0.3401  3 N 2.43
N: 0.5000 0.5000 0.5000  6 Pm 2.43

Symmetry ... No. 166
Formation energy from raw total energies ... -11.4 kJ per mole of atoms
Raw total energy ... -7.0920 eV/atom
N(E_F) ... 4.41 states/eV per cell

(4)
The following is a PBE-GGA calculation of an optimized crystal structure of Pm2Nb2N3, from Alexandria via LeMat-Bulk.

Cell: 3.4215 5.8072 6.1850 Å, 110.53 106.06 90.00°
Closest atoms and distances in Å follow each position.
Element x y z (fractional)
N: 0.2515 0.7358 0.5031  3 Nb 2.16-2.18
N: 0.7485 0.2642 0.4969  3 Nb 2.16-2.18
N: 0.0000 0.0000 0.0000  2 Nb 2.14
Pm: 0.6113 0.8296 0.2227  5 N 2.45-2.58
Nb: 0.8453 0.6643 0.6905  4 N 2.14-2.18
Nb: 0.1547 0.3357 0.3095  4 N 2.14-2.18
Pm: 0.3887 0.1704 0.7773  5 N 2.45-2.58

Symmetry ... No. 12
Formation energy from raw total energies ... -109.9 kJ per mole of atoms
Raw total energy ... -8.9418 eV/atom
N(E_F) ... 4.13 states/eV per cell

(5)
The following is a PBE-GGA calculation of an optimized crystal structure of PmNb2N4, from Alexandria via LeMat-Bulk.

Cell: 3.1836 5.4189 10.5007 Å, 90.00 90.00 107.08°
Closest atoms and distances in Å follow each position.
Element x y z (fractional)
Nb: 0.8706 0.7413 0.5658  6 N 2.05-2.19
N: 0.5000 0.0000 0.0000  4 Nb 2.19
N: 0.2331 0.4661 0.8887  3 Nb 2.15-2.19
Nb: 0.1294 0.2587 0.0658  6 N 2.05-2.19
N: 0.7669 0.5339 0.3887  3 Nb 2.15-2.19
Nb: 0.8706 0.7413 0.9342  6 N 2.05-2.19
N: 0.5000 0.0000 0.5000  4 Nb 2.19
Pm: 0.3844 0.7689 0.2500  6 N 2.45-2.48
N: 0.7669 0.5339 0.1113  3 Nb 2.15-2.19
N: 0.0646 0.1292 0.2500  2 Nb 2.05
Pm: 0.6156 0.2311 0.7500  6 N 2.45-2.48
N: 0.2331 0.4661 0.6113  3 Nb 2.15-2.19
N: 0.9354 0.8708 0.7500  2 Nb 2.05
Nb: 0.1294 0.2587 0.4342  6 N 2.05-2.19

Symmetry ... No. 63
Formation energy from raw total energies ... -108.1 kJ per mole of atoms
Raw total energy ... -9.4335 eV/atom
N(E_F) ... 2.14 states/eV per cell

(6)
The following is a PBE-GGA calculation of an optimized crystal structure of Pm3Nb2N6, from Alexandria via LeMat-Bulk.

Cell: 4.0703 4.0703 10.1962 Å, 101.51 101.51 90.00°
Closest atoms and distances in Å follow each position.
Element x y z (fractional)
N: 0.4163 0.9163 0.8327  2 Nb 2.07
N: 0.5837 0.0837 0.1673  2 Nb 2.07
N: 0.9163 0.4163 0.8327  2 Nb 2.07
Nb: 0.3979 0.3979 0.7958  5 N 1.94-2.07
Nb: 0.6021 0.6021 0.2042  5 N 1.94-2.07
N: 0.2985 0.2985 0.5970  1 Nb 1.94
N: 0.7015 0.7015 0.4030  1 Nb 1.94
N: 0.0837 0.5837 0.1673  2 Nb 2.07
Pm: 0.8219 0.8219 0.6439  1 N 2.36
Pm: 0.0000 0.0000 0.0000  8 N 2.61
Pm: 0.1781 0.1781 0.3561  1 N 2.36

Symmetry ... No. 139
Formation energy from raw total energies ... -119.5 kJ per mole of atoms
Raw total energy ... -8.9062 eV/atom
N(E_F) ... 1.87 states/eV per cell

(7)
The following is a PBE-GGA calculation of an optimized crystal structure of PmNbN, from Alexandria via LeMat-Bulk.

Cell: 3.6134 3.6134 8.7271 Å, 90.00 90.00 90.00°
Closest atoms and distances in Å follow each position.
Element x y z (fractional)
Pm: 0.5000 0.0000 0.1844  4 N 2.84
Nb: 0.0000 0.0000 0.5000  4 N 2.36, 4 Nb 2.56
N: 0.5000 0.0000 0.6736  4 Nb 2.36
Nb: 0.5000 0.5000 0.5000  4 N 2.36, 4 Nb 2.56
Pm: 0.0000 0.5000 0.8156  4 N 2.84
N: 0.0000 0.5000 0.3264  4 Nb 2.36

Symmetry ... No. 129
Formation energy from raw total energies ... -29.3 kJ per mole of atoms
Raw total energy ... -8.0185 eV/atom
N(E_F) ... 4.67 states/eV per cell

(8)
The following is a PBE-GGA calculation of an optimized crystal structure of Pm2NbN3, from Alexandria via LeMat-Bulk.

Cell: 5.5607 6.2171 12.2940 Å, 87.81 85.10 63.43°
Closest atoms and distances in Å follow each position.
Element x y z (fractional)
N: 0.4910 0.6507 0.8855  1 Nb 2.02
N: 0.6424 0.7151 0.2500  2 Nb 2.18
N: 0.3576 0.2849 0.7500  2 Nb 2.18
Pm: 0.8892 0.7717 0.4217  3 N 2.40-2.61
Pm: 0.9782 0.5994 0.8601  5 N 2.45-2.72
Nb: 0.7091 0.9915 0.6690  4 N 1.99-2.18
Pm: 0.4224 0.5994 0.6399  5 N 2.45-2.72
Pm: 0.6609 0.2283 0.9217  3 N 2.40-2.61
Nb: 0.2994 0.9915 0.8310  4 N 1.99-2.18
N: 0.8744 0.7956 0.0387  1 Nb 2.00
Pm: 0.1108 0.2283 0.5783  3 N 2.40-2.61
Pm: 0.5776 0.4006 0.3601  5 N 2.45-2.72
Pm: 0.3391 0.7717 0.0783  3 N 2.40-2.61
N: 0.8582 0.6507 0.6145  1 Nb 2.02
N: 0.1256 0.2044 0.9613  1 Nb 2.00
N: 0.9863 0.0274 0.2500  2 Nb 1.99
Nb: 0.2909 0.0085 0.3310  4 N 1.99-2.18
N: 0.1418 0.3493 0.3855  1 Nb 2.02
N: 0.0137 0.9726 0.7500  2 Nb 1.99
N: 0.5090 0.3493 0.1145  1 Nb 2.02
Nb: 0.7006 0.0085 0.1690  4 N 1.99-2.18
N: 0.6699 0.2044 0.5387  1 Nb 2.00
N: 0.3301 0.7956 0.4613  1 Nb 2.00
Pm: 0.0218 0.4006 0.1399  5 N 2.45-2.72

Symmetry ... No. 15
Formation energy from raw total energies ... -118.4 kJ per mole of atoms
Raw total energy ... -8.6515 eV/atom
N(E_F) ... 4.44 states/eV per cell